# MoSeCl2 (PBE, optimized geometry)
data_MoSeCl2
_space_group_name_H-M_alt 'P 4/m m m'
_space_group_IT_number 123
_space_group_name_Hall '-P 4 2'
_cell_length_a 2.9682
_cell_length_b 2.9682
_cell_length_c 9.4406
_cell_angle_alpha 90.00
_cell_angle_beta 90.00
_cell_angle_gamma 90.00
loop_
_atom_site_label
_atom_site_fract_x
_atom_site_fract_y
_atom_site_fract_z
_atom_site_occupancy
Mo1 0.0000 0.0000 0.0000 1
Se1 0.0000 0.0000 0.5000 1
Cl1 0.5000 0.5000 0.1588 1
# * V: 20.8 Å³ per atom
# * uncorrected formation energy: 0.408 eV per formula unit
# * electronic total energy: -4.400 eV per atom